No. 1
# Li2DyCd3 | Alexandria | GGA-PBE | relaxed
data_Li2DyCd3
_space_group_name_H-M_alt 'P 63/m m c'
_space_group_IT_number 194
_space_group_name_Hall '-P 6c 2c'
_cell_length_a 4.7379
_cell_length_b 4.7379
_cell_length_c 13.3181
_cell_angle_alpha 90.00
_cell_angle_beta 90.00
_cell_angle_gamma 120.00
loop_
_atom_site_label
_atom_site_type_symbol
_atom_site_fract_x
_atom_site_fract_y
_atom_site_fract_z
_atom_site_occupancy
Li1 Li 0.3333 0.6667 0.0782 1
Dy1 Dy 0.0000 0.0000 0.2500 1
Cd1 Cd 0.0000 0.0000 0.0000 1
Cd2 Cd 0.3333 0.6667 0.6304 1
# total energy	-2.097	eV/atom
# total moment	0.00	μB/cell
# Fermi-level density of states	0.3466	states/eV/atom

---

No. 2
# Li4DyCd8 | Alexandria | GGA-PBE | relaxed
data_Li4DyCd8
_space_group_name_H-M_alt 'I 4/m m m'
_space_group_IT_number 139
_space_group_name_Hall '-I 4 2'
_cell_length_a 9.965
_cell_length_b 9.965
_cell_length_c 5.261
_cell_angle_alpha 90.00
_cell_angle_beta 90.00
_cell_angle_gamma 90.00
loop_
_atom_site_label
_atom_site_type_symbol
_atom_site_fract_x
_atom_site_fract_y
_atom_site_fract_z
_atom_site_occupancy
Li1 Li 0.250 0.250 0.250 1
Dy1 Dy 0.000 0.000 0.000 1
Cd1 Cd 0.000 0.211 0.500 1
Cd2 Cd 0.000 0.348 0.000 1
# total energy	-1.736	eV/atom
# total moment	0.00	μB/cell
# Fermi-level density of states	0.4438	states/eV/atom

---

No. 3
# Li2DyCd6 | Alexandria | GGA-PBE | relaxed
data_Li2DyCd6
_space_group_name_H-M_alt 'P 6/m m m'
_space_group_IT_number 191
_space_group_name_Hall '-P 6 2'
_cell_length_a 8.5808
_cell_length_b 8.5808
_cell_length_c 3.2215
_cell_angle_alpha 90.00
_cell_angle_beta 90.00
_cell_angle_gamma 120.00
loop_
_atom_site_label
_atom_site_type_symbol
_atom_site_fract_x
_atom_site_fract_y
_atom_site_fract_z
_atom_site_occupancy
Li1 Li 0.3333 0.6667 0.0000 1
Dy1 Dy 0.0000 0.0000 0.0000 1
Cd1 Cd 0.0000 0.3380 0.5000 1
# total energy	-1.744	eV/atom
# total moment	0.00	μB/cell
# Fermi-level density of states	0.5903	states/eV/atom

---

No. 4
# LiDyMg6Cd | Alexandria | GGA-PBE | relaxed
data_LiDyMg6Cd
_space_group_name_H-M_alt 'I m m a'
_space_group_IT_number 74
_space_group_name_Hall '-I 2b 2'
_cell_length_a 7.090
_cell_length_b 10.144
_cell_length_c 12.380
_cell_angle_alpha 90.00
_cell_angle_beta 90.00
_cell_angle_gamma 90.00
loop_
_atom_site_label
_atom_site_type_symbol
_atom_site_fract_x
_atom_site_fract_y
_atom_site_fract_z
_atom_site_occupancy
Li1 Li 0.000 0.000 0.000 1
Dy1 Dy 0.000 0.250 0.214 1
Mg1 Mg 0.000 0.250 0.506 1
Mg2 Mg 0.000 0.250 0.945 1
Mg3 Mg 0.207 0.014 0.370 1
Cd1 Cd 0.250 0.250 0.750 1
# total energy	-1.766	eV/atom
# total moment	0.00	μB/cell
# Fermi-level density of states	0.6898	states/eV/atom

---

- Which formula does entry 4 have?
  LiDyMg6Cd